First-principles (PBE) data for ReHgRu3 after structural relaxation, as listed in Alexandria.

Calculated values
- ΔH_f (0 K): 1522 meV/atom
- Relative energy among the computed polymorphs: 0.0000 eV/atom
- Energy: -6.59 eV per atom

The structure in CIF format:
```
data_ReHgRu3
_symmetry_space_group_name_H-M 'P m -3 m'
_symmetry_Int_Tables_number 221
_symmetry_space_group_name_Hall '-P 4 2 3'
_cell_length_a 4.689
_cell_length_b 4.689
_cell_length_c 4.689
_cell_angle_alpha 90.00
_cell_angle_beta 90.00
_cell_angle_gamma 90.00
loop_
_atom_site_label
_atom_site_type_symbol
_atom_site_fract_x
_atom_site_fract_y
_atom_site_fract_z
Re1 Re 0.000 0.000 0.000
Hg1 Hg 0.500 0.500 0.500
Ru1 Ru 0.000 0.000 0.500
```